(1)
# Ca2GaHg, single point on PBEsol structure, DFT SCAN
data_Ca2GaHg
_cell_length_a 7.3361
_cell_length_b 7.3361
_cell_length_c 7.3361
_cell_angle_alpha 90.00
_cell_angle_beta 90.00
_cell_angle_gamma 90.00
_space_group_name_H-M_alt 'F m -3 m'
_space_group_IT_number 225
_space_group_name_Hall '-F 4 2 3'
loop_
_atom_site_label
_atom_site_type_symbol
_atom_site_fract_x
_atom_site_fract_y
_atom_site_fract_z
Ca1 Ca 0.2500 0.2500 0.2500
Ga1 Ga 0.0000 0.0000 0.0000
Hg1 Hg 0.0000 0.0000 0.5000
# Raw total energy: -26.576 eV per atom

(2)
# LiNb2Si, single point on PBEsol structure, DFT SCAN
data_LiNb2Si
_cell_length_a 6.9804
_cell_length_b 6.9804
_cell_length_c 5.2687
_cell_angle_alpha 90.00
_cell_angle_beta 90.00
_cell_angle_gamma 90.00
_space_group_name_H-M_alt 'I -4 2 d'
_space_group_IT_number 122
_space_group_name_Hall 'I -4 2bw'
loop_
_atom_site_label
_atom_site_type_symbol
_atom_site_fract_x
_atom_site_fract_y
_atom_site_fract_z
Li1 Li 0.0000 0.0000 0.0000
Nb1 Nb 0.2421 0.2500 0.6250
Si1 Si 0.0000 0.0000 0.5000
# Energy relative to the elements, uncorrected: 0.228 eV/atom

(3)
# Ca3V2O8, single point on PBEsol structure, DFT SCAN
data_Ca3V2O8
_cell_length_a 9.8363
_cell_length_b 5.4723
_cell_length_c 6.7966
_cell_angle_alpha 90.00
_cell_angle_beta 114.19
_cell_angle_gamma 90.00
_space_group_name_H-M_alt 'C 1 2/m 1'
_space_group_IT_number 12
loop_
_space_group_symop_operation_xyz
'x,y,z'
'-x,-y,-z'
'-x,y,-z'
'x,-y,z'
'x+1/2,y+1/2,z'
'-x+1/2,-y+1/2,-z'
'-x+1/2,y+1/2,-z'
'x+1/2,-y+1/2,z'
loop_
_atom_site_label
_atom_site_type_symbol
_atom_site_fract_x
_atom_site_fract_y
_atom_site_fract_z
Ca1 Ca 0.0000 0.0000 0.0000
Ca2 Ca 0.1744 0.0000 0.5840
V1 V 0.1069 0.5000 0.7924
O1 O 0.0026 0.2389 0.7051
O2 O 0.1817 0.5000 0.0636
O3 O 0.2440 0.5000 0.6945
# Energy relative to the elements, uncorrected: -3.094 eV/atom